No. 1
# Rb2SnBr6N

An optimized crystal structure of Rb2SnBr6N (PBE, Alexandria via LeMat-Bulk).

Lattice parameters (Å, degrees): 8.298 8.298 7.698 57.39 57.39 90.00
Element x y z (fractional)
Br: 0.234 0.766 0.000
Rb: 0.750 0.250 0.500
Sn: 0.000 0.000 0.000
N: 0.500 0.500 0.000
Br: 0.278 0.278 0.444
Br: 0.766 0.234 0.000
Br: 0.722 0.722 0.556
Br: 0.766 0.766 0.000
Rb: 0.250 0.750 0.500
Br: 0.234 0.234 0.000

N(E_F) ... 0.485 states/eV/atom
Raw total energy ... -29.61 eV/cell

---

No. 2
# RbTaBr2N

An optimized crystal structure of RbTaBr2N (PBE, Alexandria via LeMat-Bulk).

Lattice parameters (Å, degrees): 5.578 3.985 5.578 90.00 90.00 90.00
Element x y z (fractional)
Rb: 0.500 0.500 0.500
Ta: 0.000 0.000 0.000
Br: 0.000 0.000 0.500
Br: 0.500 0.000 0.000
N: 0.000 0.500 0.000

N(E_F) ... 0.330 states/eV/atom
Raw total energy ... -27.85 eV/cell

---

No. 3
# Rb2TcBr6N

An optimized crystal structure of Rb2TcBr6N (PBE, Alexandria via LeMat-Bulk).

Lattice parameters (Å, degrees): 7.801 7.801 7.797 59.98 59.98 90.00
Element x y z (fractional)
Tc: 0.000 0.000 0.000
N: 0.500 0.500 0.000
Br: 0.770 0.770 0.000
Rb: 0.250 0.750 0.500
Br: 0.231 0.231 0.539
Rb: 0.750 0.250 0.500
Br: 0.230 0.770 0.000
Br: 0.770 0.230 0.000
Br: 0.769 0.769 0.461
Br: 0.230 0.230 0.000

Raw total energy ... -34.96 eV/cell